No. 1
A relaxed structure of In2BiH. Source: the Alexandria database, functional PBE.

Cell lengths 5.1726, 5.1726, 5.1726 Å; angles 60.00, 60.00, 60.00 degrees
Closest atoms and distances in Å follow each position.
Fractional positions:
1 In 0.2500 0.2500 0.2500  4 H 3.17, 4 Bi 3.17
2 In 0.7500 0.7500 0.7500  4 H 3.17, 4 Bi 3.17
3 Bi 0.0000 0.0000 0.0000  8 In 3.17
4 H 0.5000 0.5000 0.5000  8 In 3.17

Summary:
As for the total magnetization: 0.0 Bohr magnetons per cell. Its total DFT energy (no corrections) is -2.787 eV/atom. As for the space group: Fm-3m (225).

---

No. 2
A relaxed structure of Na4Ga3GeO8. Source: the Alexandria database, functional PBE.

Cell lengths 6.4929, 6.4929, 6.4929 Å; angles 56.38, 56.38, 56.38 degrees
Closest atoms and distances in Å follow each position.
Fractional positions:
1 Na 0.0000 0.0000 0.0000  6 O 2.40
2 Na 0.0000 0.5000 0.5000  6 O 2.42-2.43
3 Na 0.5000 0.0000 0.5000  6 O 2.42-2.43
4 Na 0.5000 0.5000 0.0000  6 O 2.42-2.43
5 Ga 0.0000 0.0000 0.5000  6 O 2.06-2.07
6 Ga 0.0000 0.5000 0.0000  6 O 2.06-2.07
7 Ga 0.5000 0.0000 0.0000  6 O 2.06-2.07
8 Ge 0.5000 0.5000 0.5000  6 O 2.10
9 O 0.2273 0.7353 0.7353  2 Ga 2.06, 1 Ge 2.10
10 O 0.2324 0.2324 0.2324  3 Ga 2.07
11 O 0.2647 0.2647 0.7727  2 Ga 2.06, 1 Ge 2.10
12 O 0.2647 0.7727 0.2647  2 Ga 2.06, 1 Ge 2.10
13 O 0.7353 0.2273 0.7353  2 Ga 2.06, 1 Ge 2.10
14 O 0.7353 0.7353 0.2273  2 Ga 2.06, 1 Ge 2.10
15 O 0.7676 0.7676 0.7676  3 Ga 2.07
16 O 0.7727 0.2647 0.2647  2 Ga 2.06, 1 Ge 2.10

Summary:
As for the total magnetization: 0.0 Bohr magnetons per cell. The raw formation energy is -1.676 eV per atom. As for the space group: R-3m (166).

---

No. 3
A relaxed structure of ZnInSe2. Source: the Alexandria database, functional PBE.

Cell lengths 7.9436, 7.9436, 7.9436 Å; angles 30.51, 30.51, 30.51 degrees
Closest atoms and distances in Å follow each position.
Fractional positions:
1 Zn 0.0000 0.0000 0.0000  4 Se 2.52-2.53
2 In 0.5040 0.5040 0.5040  4 Se 2.77-2.93
3 Se 0.1109 0.1109 0.1109  1 Zn 2.52, 3 In 2.77
4 Se 0.6332 0.6332 0.6332  3 Zn 2.53

Summary:
As for the total magnetization: 0.0 Bohr magnetons per cell. The raw formation energy is -0.432 eV per atom. As for the space group: R3m (160).

---

No. 4
A relaxed structure of Mg2In2Co. Source: the Alexandria database, functional PBE.

Cell lengths 6.9013, 6.9013, 4.4582 Å; angles 90.00, 90.00, 90.00 degrees
Closest atoms and distances in Å follow each position.
Fractional positions:
1 Mg 0.1638 0.3362 0.0000  6 In 2.86-3.12, 1 Mg 3.20
2 Mg 0.3362 0.8362 0.0000  6 In 2.86-3.12, 1 Mg 3.20
3 Mg 0.6638 0.1638 0.0000  6 In 2.86-3.12, 1 Mg 3.20
4 Mg 0.8362 0.6638 0.0000  6 In 2.86-3.12, 1 Mg 3.20
5 In 0.1523 0.6523 0.5000  2 Co 2.62, 2 Mg 2.86
6 In 0.3477 0.1523 0.5000  2 Co 2.62, 2 Mg 2.86
7 In 0.6523 0.8477 0.5000  2 Co 2.62, 2 Mg 2.86
8 In 0.8477 0.3477 0.5000  2 Co 2.62, 2 Mg 2.86
9 Co 0.0000 0.0000 0.5000  4 In 2.62
10 Co 0.5000 0.5000 0.5000  4 In 2.62

Summary:
As for the total magnetization: 1.9 Bohr magnetons per cell. As for the space group: P4/mbm (127). The calculation puts the energy relative to the elements at 0.202 eV/atom.

---

No. 5
A relaxed structure of CsAl2Sn2. Source: the Alexandria database, functional PBE.

Cell lengths 6.7983, 6.7983, 6.7983 Å; angles 136.63, 136.63, 63.00 degrees
Closest atoms and distances in Å follow each position.
Fractional positions:
1 Cs 0.0000 0.0000 0.0000  8 Al 3.81, 8 Sn 3.84
2 Al 0.3813 0.3813 0.0000  1 Al 2.75, 4 Sn 2.94
3 Al 0.6187 0.6187 0.0000  1 Al 2.75, 4 Sn 2.94
4 Sn 0.2500 0.7500 0.5000  4 Al 2.94
5 Sn 0.7500 0.2500 0.5000  4 Al 2.94

Summary:
As for the total magnetization: 0.0 Bohr magnetons per cell. As for the space group: I4/mmm (139). The calculation puts the energy relative to the elements at -0.042 eV/atom.

---

No. 6
A relaxed structure of La4TeSe2Cl. Source: the Alexandria database, functional PBE.

Cell lengths 7.5312, 6.1791, 7.5312 Å; angles 65.78, 48.44, 65.78 degrees
Closest atoms and distances in Å follow each position.
Fractional positions:
1 La 0.2436 0.7564 0.2436  1 Cl 2.99, 4 Se 3.09, 1 Te 3.15
2 La 0.5023 0.9989 0.4977  2 Se 3.07, 2 Cl 3.09, 2 Te 3.09
3 La 0.7564 0.2436 0.7564  1 Cl 2.99, 4 Se 3.09, 1 Te 3.15
4 La 0.9989 0.5023 0.0011  2 Se 3.07, 2 Cl 3.09, 2 Te 3.09
5 Te 0.4989 0.4989 0.5011  6 La 3.09-3.15
6 Se 0.2500 0.2500 0.2500  6 La 3.07-3.09
7 Se 0.7500 0.7500 0.7500  6 La 3.07-3.09
8 Cl 0.0018 0.0018 0.9982  6 La 2.99-3.09

Summary:
As for the total magnetization: 0.0 Bohr magnetons per cell. The raw formation energy is -1.741 eV per atom. As for the space group: Fmm2 (42).

---

No. 7
A relaxed structure of CoRu2Au. Source: the Alexandria database, functional PBE.

Cell lengths 9.0130, 9.0130, 9.0130 Å; angles 17.48, 17.48, 17.48 degrees
Closest atoms and distances in Å follow each position.
Fractional positions:
1 Co 0.0000 0.0000 0.0000  3 Ru 2.58, 6 Co 2.74, 3 Au 2.77
2 Ru 0.2568 0.2568 0.2568  3 Co 2.58, 9 Ru 2.62-2.74
3 Ru 0.5116 0.5116 0.5116  9 Ru 2.62-2.74, 3 Au 2.93
4 Au 0.7521 0.7521 0.7521  6 Au 2.74, 3 Co 2.77, 3 Ru 2.93

Summary:
As for the total magnetization: 1.6 Bohr magnetons per cell. As for the space group: R3m (160). The calculation puts the energy relative to the elements at 0.272 eV/atom.

---

No. 8
A relaxed structure of DyHoPt2. Source: the Alexandria database, functional PBE.

Cell lengths 4.9334, 4.9334, 4.9334 Å; angles 60.00, 60.00, 60.00 degrees
Closest atoms and distances in Å follow each position.
Fractional positions:
1 Dy 0.0000 0.0000 0.0000  8 Pt 3.02
2 Ho 0.5000 0.5000 0.5000  8 Pt 3.02
3 Pt 0.2500 0.2500 0.2500  4 Dy 3.02, 4 Ho 3.02
4 Pt 0.7500 0.7500 0.7500  4 Dy 3.02, 4 Ho 3.02

Summary:
As for the total magnetization: 0.0 Bohr magnetons per cell. As for the space group: Fm-3m (225). The calculation puts the energy relative to the elements at -1.234 eV/atom.

---

No. 9
A relaxed structure of SiClO2. Source: the Alexandria database, functional PBE.

Cell lengths 3.9691, 3.9691, 3.9691 Å; angles 60.00, 60.00, 60.00 degrees
Closest atoms and distances in Å follow each position.
Fractional positions:
1 Si 0.0000 0.0000 0.0000  8 O 2.43
2 Cl 0.5000 0.5000 0.5000  8 O 2.43
3 O 0.2500 0.2500 0.2500  4 Cl 2.43, 4 Si 2.43
4 O 0.7500 0.7500 0.7500  4 Cl 2.43, 4 Si 2.43

Summary:
As for the total magnetization: 0.6 Bohr magnetons per cell. The raw formation energy is 0.730 eV per atom. As for the space group: Fm-3m (225).

---

No. 10
A relaxed structure of CePrEr2Sb4. Source: the Alexandria database, functional PBE.

Cell lengths 7.6779, 4.4433, 7.7012 Å; angles 90.00, 109.45, 90.00 degrees
Closest atoms and distances in Å follow each position.
Fractional positions:
1 Ce 0.0000 0.0000 0.0000  6 Sb 3.17-3.18
2 Pr 0.0000 0.5000 0.5000  6 Sb 3.20
3 Er 0.5000 0.0000 0.5000  6 Sb 3.11
4 Er 0.5000 0.5000 0.0000  6 Sb 3.08-3.09
5 Sb 0.2601 0.5000 0.2512  3 Er 3.08-3.11, 2 Ce 3.18, 1 Pr 3.20
6 Sb 0.2613 0.0000 0.7565  3 Er 3.09-3.11, 1 Ce 3.17, 2 Pr 3.20
7 Sb 0.7387 0.0000 0.2435  3 Er 3.09-3.11, 1 Ce 3.17, 2 Pr 3.20
8 Sb 0.7399 0.5000 0.7488  3 Er 3.08-3.11, 2 Ce 3.18, 1 Pr 3.20

Summary:
As for the total magnetization: 0.7 Bohr magnetons per cell. The raw formation energy is -1.103 eV per atom. As for the space group: P2/m (10).

---

No. 11
A relaxed structure of Tb2Pr3Er6Tm. Source: the Alexandria database, functional PBE.

Cell lengths 6.1860, 6.1860, 11.7538 Å; angles 95.02, 95.02, 119.98 degrees
Closest atoms and distances in Å follow each position.
Fractional positions:
1 Tb 0.1666 0.8334 0.0000  6 Er 3.51, 3 Tb 3.57, 3 Tm 3.57
2 Tb 0.8334 0.1666 0.0000  6 Er 3.51, 3 Tb 3.57, 3 Tm 3.57
3 Pr 0.0000 0.0000 0.5000  6 Pr 3.57, 6 Er 3.60
4 Pr 0.3334 0.6666 0.5000  6 Pr 3.57, 6 Er 3.59-3.60
5 Pr 0.6666 0.3334 0.5000  6 Pr 3.57, 6 Er 3.59-3.60
6 Er 0.0852 0.4182 0.7545  1 Tm 3.51, 2 Tb 3.51, 6 Er 3.57, 3 Pr 3.59-3.60
7 Er 0.2487 0.2487 0.2455  1 Tm 3.51, 2 Tb 3.51, 6 Er 3.57, 3 Pr 3.60
8 Er 0.4182 0.0852 0.7545  1 Tm 3.51, 2 Tb 3.51, 6 Er 3.57, 3 Pr 3.59-3.60
9 Er 0.5818 0.9148 0.2455  1 Tm 3.51, 2 Tb 3.51, 6 Er 3.57, 3 Pr 3.59-3.60
10 Er 0.7513 0.7513 0.7545  1 Tm 3.51, 2 Tb 3.51, 6 Er 3.57, 3 Pr 3.60
11 Er 0.9148 0.5818 0.2455  1 Tm 3.51, 2 Tb 3.51, 6 Er 3.57, 3 Pr 3.59-3.60
12 Tm 0.5000 0.5000 0.0000  6 Er 3.51, 6 Tb 3.57

Summary:
As for the total magnetization: 0.0 Bohr magnetons per cell. As for the space group: C2/m (12). The calculation puts the energy relative to the elements at 0.022 eV/atom.

---

No. 12
A relaxed structure of CsAlIn. Source: the Alexandria database, functional PBE.

Cell lengths 4.9761, 7.5251, 7.5302 Å; angles 102.49, 103.24, 103.32 degrees
Closest atoms and distances in Å follow each position.
Fractional positions:
1 Cs 0.0000 0.0000 0.0000  4 Al 3.92-4.14, 4 In 4.08-4.23
2 Cs 0.4977 0.6413 0.3581  4 In 3.96-3.99, 4 Al 4.27-4.42
3 Al 0.2784 0.1403 0.5875  1 Al 2.69, 2 In 2.73
4 Al 0.7199 0.4119 0.8593  1 Al 2.69, 2 In 2.73
5 In 0.2394 0.5327 0.7940  2 Al 2.73
6 In 0.7597 0.2063 0.4672  2 Al 2.73

Summary:
As for the total magnetization: 0.0 Bohr magnetons per cell. As for the space group: P1 (1). The calculation puts the energy relative to the elements at 0.068 eV/atom.

---

no.,N(E_F) (states/eV/f.u.)
1,1.8
2,1.6
3,2.1
4,3.5
5,1.6
6,7.3
7,4.5
8,2.4
9,3.3
10,7.8
11,15.4
12,1.1